8
Lattice="0.000 4.085 4.085 4.085 0.000 4.085 4.085 4.085 0.000" Properties=species:S:1:pos:R:3 comment="Ag7Hg (PBEsol, optimized geometry)" final_energy_ev_per_atom=-2.967 formation_enthalpy_0k_ev_per_atom=0.0010 magmom_total_mub_per_fu=0.00 sg="Fm-3m (225)" pbc="T T T"
Ag 0.000 0.000 0.000
Ag 2.043 2.043 0.000
Ag 2.043 0.000 2.043
Ag 4.085 2.043 2.043
Ag 0.000 2.043 2.043
Ag 2.043 4.085 2.043
Ag 2.043 2.043 4.085
Hg 4.085 4.085 4.085

***

4
Lattice="1.957 -2.922 0.000 1.957 2.922 0.000 0.000 0.000 8.110" Properties=species:S:1:pos:R:3 comment="CuPbCl2 (PBEsol, optimized geometry)" final_energy_ev_per_atom=-3.444 magmom_total_mub_per_fu=0.00 sg="Cmm2 (35)" pbc="T T T"
Cu 0.000 0.000 0.000
Pb 1.957 0.000 2.222
Cl 0.000 0.000 4.200
Cl 1.957 0.000 7.161

***

38
Lattice="8.088 -3.313 0.000 8.088 3.313 0.000 -5.388 0.000 9.540" Properties=species:S:1:pos:R:3 comment="Zr10C9 (PBEsol, optimized geometry)" final_energy_ev_per_atom=-10.260 formation_enthalpy_0k_ev_per_atom=-0.9079 magmom_total_mub_per_fu=0.00 sg="C2/c (15)" pbc="T T T"
Zr -2.693 0.843 9.042
Zr 2.653 2.540 8.123
Zr 0.034 0.825 7.157
Zr 5.442 2.540 6.188
Zr 2.641 0.818 5.192
Zr 0.001 -0.843 4.272
Zr 5.336 0.887 3.385
Zr 2.727 -0.825 2.387
Zr 8.146 0.887 1.385
Zr 5.335 -0.818 0.421
Zr 5.454 0.818 9.119
Zr 2.643 -0.887 8.155
Zr 8.061 0.825 7.154
Zr 5.452 -0.887 6.156
Zr 10.788 0.843 5.268
Zr 8.148 -0.818 4.349
Zr 5.347 -2.540 3.352
Zr 10.755 -0.825 2.383
Zr 8.136 -2.540 1.418
Zr 13.482 -0.843 0.498
C 4.080 2.476 4.283
C 1.356 0.836 3.362
C 6.741 2.493 2.385
C 4.067 0.812 1.431
C 9.403 2.476 0.487
C 1.366 0.823 9.062
C -1.338 -0.836 8.132
C 1.373 -0.812 6.202
C 6.729 0.823 5.249
C 4.060 -0.823 4.291
C 9.416 0.812 3.339
C 12.127 0.836 1.408
C 9.423 -0.823 0.479
C 1.386 -2.476 9.053
C 6.722 -0.812 8.109
C 4.047 -2.493 7.155
C 9.433 -0.836 6.179
C 6.709 -2.476 5.257

***

4
Lattice="3.204 0.000 0.000 0.000 3.204 0.000 0.000 0.000 6.727" Properties=species:S:1:pos:R:3 comment="Sc2MnAl (PBEsol, optimized geometry)" final_energy_ev_per_atom=-6.943 formation_enthalpy_0k_ev_per_atom=-0.1770 magmom_total_mub_per_fu=1.09 sg="P4/mmm (123)" pbc="T T T"
Sc 0.000 0.000 1.500
Sc 0.000 0.000 5.227
Mn 1.602 1.602 0.000
Al 1.602 1.602 3.364

***

4
Lattice="2.996 0.000 0.000 0.000 4.243 0.000 0.000 0.000 4.305" Properties=species:S:1:pos:R:3 comment="Cu2IrSe (PBEsol, optimized geometry)" final_energy_ev_per_atom=-5.274 magmom_total_mub_per_fu=0.00 sg="Pmmm (47)" pbc="T T T"
Cu 0.000 0.000 0.000
Cu 1.498 0.000 2.152
Ir 0.000 2.121 2.152
Se 1.498 2.121 0.000

***

4
Lattice="0.000 3.006 3.006 3.006 0.000 3.006 3.006 3.006 0.000" Properties=species:S:1:pos:R:3 comment="Zr2BeC (PBEsol, optimized geometry)" final_energy_ev_per_atom=-7.534 formation_enthalpy_0k_ev_per_atom=0.4222 magmom_total_mub_per_fu=0.00 sg="Fm-3m (225)" pbc="T T T"
Zr 1.503 1.503 1.503
Zr 4.509 4.509 4.509
Be 0.000 0.000 0.000
C 3.006 3.006 3.006

***

4
Lattice="3.269 0.000 0.000 0.000 4.003 0.000 0.000 0.000 8.164" Properties=species:S:1:pos:R:3 comment="KCr2Pb (PBEsol, optimized geometry)" final_energy_ev_per_atom=-5.369 formation_enthalpy_0k_ev_per_atom=1.0345 magmom_total_mub_per_fu=9.09 sg="Pmmm (47)" pbc="T T T"
K 0.000 0.000 0.000
Cr 1.635 2.001 2.633
Cr 1.635 2.001 5.531
Pb 0.000 0.000 4.082

***

4
Lattice="2.971 0.000 0.000 0.000 2.971 0.000 0.000 0.000 6.459" Properties=species:S:1:pos:R:3 comment="ZnCu2Hg (PBEsol, optimized geometry)" final_energy_ev_per_atom=-2.655 formation_enthalpy_0k_ev_per_atom=0.0489 magmom_total_mub_per_fu=0.00 sg="P4mm (99)" pbc="T T T"
Zn 0.000 0.000 0.000
Cu 0.000 0.000 2.676
Cu 1.486 1.486 1.367
Hg 1.486 1.486 4.457